# 1
LaSi2Br: single point on PBEsol structure, SCAN.

It has space group C2/m (No. 12), with a = 11.7450 Å, b = 3.8313 Å, c = 5.0772 Å, α = 90.00°, β = 91.00° and γ = 90.00°. The inequivalent atoms are La at (0.0000, 0.0000, 0.0000), Si at (0.1995, 0.5000, 0.0094) and Br at (0.0000, 0.5000, 0.5000).

The energy above the most stable polymorph in this dataset is 0 meV/atom.

=====

# 2
Nd2Ge3Rh: single point on PBEsol structure, SCAN.

It has space group Pmm2 (No. 25), with a = 4.0495 Å, b = 4.3171 Å, c = 7.2684 Å, α = 90.00°, β = 90.00° and γ = 90.00°. The inequivalent atoms are Nd at (0.0000, 0.0000, 0.0000), Nd at (0.0000, 0.5000, 0.4880), Ge at (0.5000, 0.0000, 0.6506), Ge at (0.5000, 0.5000, 0.1657), Ge at (0.5000, 0.5000, 0.8257) and Rh at (0.5000, 0.0000, 0.3190).

Its total energy is -183.69 eV/cell.

=====

# 3
ScAl2In: single point on PBEsol structure, SCAN.

It has space group P4/mmm (No. 123), with a = 4.2108 Å, b = 4.2108 Å, c = 4.1588 Å, α = 90.00°, β = 90.00° and γ = 90.00°. The inequivalent atoms are Sc at (0.0000, 0.0000, 0.0000), Al at (0.0000, 0.5000, 0.5000) and In at (0.5000, 0.5000, 0.0000).

Its total energy is -64.78 eV/cell.

=====

# 4
Na2AgW: single point on PBEsol structure, SCAN.

It has space group Fm-3m (No. 225), with a = 7.0018 Å, b = 7.0018 Å, c = 7.0018 Å, α = 90.00°, β = 90.00° and γ = 90.00°. The inequivalent atoms are Na at (0.2500, 0.2500, 0.2500), Ag at (0.0000, 0.0000, 0.0000) and W at (0.0000, 0.0000, 0.5000).

Its total energy is -414.71 eV/cell.